# 1
VASP calculation (PBE-GGA) on an optimized crystal structure of LiPbBr. Values from VASP.

Computed properties:
Offset from the most stable computed form (kJ/mol of atoms): 88.2
ρ (kg/m³): 4726
Formation energy from raw total energies (eV/atom): -0.01

Cell and atoms, written as Quantum ESPRESSO input:
```
&SYSTEM
  ibrav = 0, nat = 3, ntyp = 3
/
ATOMIC_SPECIES
Li 6.94 Li.upf
Pb 207.20 Pb.upf
Br 79.90 Br.upf
CELL_PARAMETERS angstrom
0.000 3.724 3.724
3.724 0.000 3.724
3.724 3.724 0.000
ATOMIC_POSITIONS crystal
Li 0.000 0.000 0.000
Pb 0.250 0.250 0.250
Br 0.500 0.500 0.500
```

# 2
VASP calculation (PBE-GGA) on an optimized crystal structure of LiPbBr2. Values from VASP.

Computed properties:
Offset from the most stable computed form (kJ/mol of atoms): 8.4
ρ (kg/m³): 5262
Formation energy from raw total energies (eV/atom): -0.86

Cell and atoms, written as Quantum ESPRESSO input:
```
&SYSTEM
  ibrav = 0, nat = 4, ntyp = 3
/
ATOMIC_SPECIES
Li 6.94 Li.upf
Pb 207.20 Pb.upf
Br 79.90 Br.upf
CELL_PARAMETERS angstrom
-1.916 2.597 5.927
1.916 -2.597 5.927
1.916 2.597 -5.927
ATOMIC_POSITIONS crystal
Li 0.000 0.000 0.000
Pb 0.500 0.500 0.000
Br 0.150 0.650 0.500
Br 0.850 0.350 0.500
```

# 3
VASP calculation (PBE-GGA) on an optimized crystal structure of Li3PbBr. Values from VASP.

Computed properties:
Offset from the most stable computed form (kJ/mol of atoms): 0.0
ρ (kg/m³): 4333
Formation energy from raw total energies (eV/atom): -0.51

Cell and atoms, written as Quantum ESPRESSO input:
```
&SYSTEM
  ibrav = 0, nat = 5, ntyp = 3
/
ATOMIC_SPECIES
Li 6.94 Li.upf
Pb 207.20 Pb.upf
Br 79.90 Br.upf
CELL_PARAMETERS angstrom
4.905 0.000 0.000
0.000 4.905 0.000
0.000 0.000 4.905
ATOMIC_POSITIONS crystal
Li 0.000 0.000 0.500
Li 0.000 0.500 0.000
Li 0.500 0.000 0.000
Pb 0.500 0.500 0.500
Br 0.000 0.000 0.000
```

# 4
VASP calculation (PBE-GGA) on an optimized crystal structure of Li3Pb6Br14. Values from VASP.

Computed properties:
ρ (kg/m³): 5615
Formation energy from raw total energies (eV/atom): -0.99

Cell and atoms, written as Quantum ESPRESSO input:
```
&SYSTEM
  ibrav = 0, nat = 23, ntyp = 3
/
ATOMIC_SPECIES
Li 6.94 Li.upf
Pb 207.20 Pb.upf
Br 79.90 Br.upf
CELL_PARAMETERS angstrom
10.855 0.000 0.000
-5.428 9.401 0.000
0.000 0.000 6.905
ATOMIC_POSITIONS crystal
Li 0.000 0.000 0.000
Li 0.333 0.667 0.488
Li 0.667 0.333 0.386
Pb 0.040 0.560 0.061
Pb 0.292 0.101 0.571
Pb 0.440 0.480 0.061
Pb 0.520 0.960 0.061
Pb 0.809 0.708 0.571
Pb 0.899 0.191 0.571
Br 0.000 0.000 0.366
Br 0.088 0.847 0.839
Br 0.153 0.240 0.839
Br 0.187 0.426 0.327
Br 0.239 0.813 0.327
Br 0.333 0.667 0.855
Br 0.427 0.196 0.166
Br 0.524 0.433 0.634
Br 0.567 0.090 0.634
Br 0.574 0.761 0.327
Br 0.760 0.912 0.839
Br 0.769 0.573 0.166
Br 0.804 0.231 0.166
Br 0.910 0.476 0.634
```